Entry 1:
{"formula": "KAcAgSn", "functional": "PBE", "state": "relaxed", "e_form_ev_per_atom": -0.2046, "spacegroup": "No. 216", "lattice_angstrom": [[0.0000, 4.0280, 4.0280], [4.0280, 0.0000, 4.0280], [4.0280, 4.0280, 0.0000]], "species": ["K", "Ac", "Ag", "Sn"], "fractional_positions": [[0.0000, 0.0000, 0.0000], [0.5000, 0.5000, 0.5000], [0.2500, 0.2500, 0.2500], [0.7500, 0.7500, 0.7500]]}

=====

Entry 2:
{"formula": "LiPa2NbN5", "functional": "PBE", "state": "relaxed", "spacegroup": "No. 36", "formation_energy_uncorrected_kj_per_mol_fu": -1054, "lattice_angstrom": [[1.6482, -6.5563, 0.0000], [1.6482, 6.5563, 0.0000], [0.0000, 0.0000, 9.9699]], "species": ["Li", "Li", "Pa", "Pa", "Pa", "Pa", "Nb", "Nb", "N", "N", "N", "N", "N", "N", "N", "N", "N", "N"], "fractional_positions": [[0.0187, 0.9813, 0.5000], [0.9813, 0.0187, 0.0000], [0.3675, 0.6325, 0.3294], [0.3856, 0.6144, 0.7108], [0.6144, 0.3856, 0.2108], [0.6325, 0.3675, 0.8294], [0.3090, 0.6910, 0.0326], [0.6910, 0.3090, 0.5326], [0.0096, 0.9904, 0.8037], [0.1411, 0.8589, 0.0385], [0.1908, 0.8092, 0.3866], [0.2118, 0.7882, 0.6888], [0.4489, 0.5511, 0.0931], [0.5511, 0.4489, 0.5931], [0.7882, 0.2118, 0.1888], [0.8092, 0.1908, 0.8866], [0.8589, 0.1411, 0.5385], [0.9904, 0.0096, 0.3037]]}

=====

Asked for electronic total energy across the records above, the calculation gives -12.9 -83.5 eV/f.u. in order.